No. 1
Density functional theory data (PBE) for a relaxed structure of TeRuW4.

The structure belongs to space group F-43m (No. 216); the cell edges are 7.5198, 7.5198 and 7.5198 Å and the angles 90.00°, 90.00° and 90.00°. The distinct sites, in fractional coordinates, are Te at (0.0000, 0.0000, 0.0000), Ru at (0.2500, 0.2500, 0.2500) and W at (0.1252, 0.1252, 0.6252).

The calculation puts the uncorrected formation energy at 0.8474 eV/atom. The final energy is -9.8576 eV/atom.

No. 2
Density functional theory data (PBE) for a relaxed structure of Te2RuW.

The structure belongs to space group Pmm2 (No. 25); the cell edges are 3.0586, 3.9188 and 7.6551 Å and the angles 90.00°, 90.00° and 90.00°. The distinct sites, in fractional coordinates, are Te at (0.0000, 0.0000, 0.0000), Te at (0.5000, 0.5000, 0.4423), Ru at (0.5000, 0.5000, 0.7997) and W at (0.0000, 0.0000, 0.6481).

The energy above the most stable polymorph in this dataset comes out at 0.136 eV/atom. The calculation puts the uncorrected formation energy at 0.2919 eV/atom. The final energy is -6.8362 eV/atom.

No. 3
Density functional theory data (PBE) for a relaxed structure of Te2RuW.

The structure belongs to space group R-3m (No. 166, hexagonal axes); the cell edges are 3.3279, 3.3279 and 26.7512 Å and the angles 90.00°, 90.00° and 120.00°. The distinct sites, in fractional coordinates, are Te at (0.0000, 0.0000, 0.0942), Ru at (0.0000, 0.0000, 0.0000) and W at (0.0000, 0.0000, 0.5000).

The energy above the most stable polymorph in this dataset comes out at 0.519 eV/atom. The calculation puts the uncorrected formation energy at 0.6750 eV/atom. The final energy is -6.4531 eV/atom.

No. 4
Density functional theory data (PBE) for a relaxed structure of Te2RuW.

The structure belongs to space group F-43m (No. 216); the cell edges are 6.7975, 6.7975 and 6.7975 Å and the angles 90.00°, 90.00° and 90.00°. The distinct sites, in fractional coordinates, are Te at (0.0000, 0.0000, 0.0000), Te at (0.2500, 0.2500, 0.2500), Ru at (0.2500, 0.2500, 0.7500) and W at (0.0000, 0.0000, 0.5000).

The energy above the most stable polymorph in this dataset comes out at 0.911 eV/atom. The calculation puts the uncorrected formation energy at 1.0672 eV/atom. The final energy is -6.0609 eV/atom.

No. 5
Density functional theory data (PBE) for a relaxed structure of TeRuW3.

The structure belongs to space group Pm-3m (No. 221); the cell edges are 4.7547, 4.7547 and 4.7547 Å and the angles 90.00°, 90.00° and 90.00°. The distinct sites, in fractional coordinates, are Te at (0.0000, 0.0000, 0.0000), Ru at (0.5000, 0.5000, 0.5000) and W at (0.0000, 0.5000, 0.5000).

The energy above the most stable polymorph in this dataset comes out at 0.000 eV/atom. The calculation puts the uncorrected formation energy at 1.8628 eV/atom. The final energy is -8.3926 eV/atom.

No. 6
Density functional theory data (PBE) for a relaxed structure of Te2RuW.

The structure belongs to space group Imm2 (No. 44); the cell edges are 3.1609, 3.2675 and 17.9601 Å and the angles 90.00°, 90.00° and 90.00°. The distinct sites, in fractional coordinates, are Te at (0.0000, 0.0000, 0.0000), Te at (0.0000, 0.5000, 0.2075), Ru at (0.0000, 0.0000, 0.4167) and W at (0.0000, 0.5000, 0.7976).

The energy above the most stable polymorph in this dataset comes out at 0.254 eV/atom. The calculation puts the uncorrected formation energy at 0.4101 eV/atom. The final energy is -6.7180 eV/atom.

No. 7
Density functional theory data (PBE) for a relaxed structure of TeRuW3.

The structure belongs to space group Pm-3m (No. 221); the cell edges are 4.7975, 4.7975 and 4.7975 Å and the angles 90.00°, 90.00° and 90.00°. The distinct sites, in fractional coordinates, are Te at (0.0000, 0.0000, 0.0000), Ru at (0.5000, 0.5000, 0.5000) and W at (0.0000, 0.0000, 0.5000).

The energy above the most stable polymorph in this dataset comes out at 0.984 eV/atom. The calculation puts the uncorrected formation energy at 2.8473 eV/atom. The final energy is -7.4081 eV/atom.

No. 8
Density functional theory data (PBE) for a relaxed structure of Te2RuW.

The structure belongs to space group Pm (No. 6); the cell edges are 3.9939, 3.8452 and 6.8075 Å and the angles 90.00°, 94.61° and 90.00°. The distinct sites, in fractional coordinates, are Te at (0.0000, 0.0000, 0.0000), Te at (0.4106, 0.5000, 0.5591), Ru at (0.9084, 0.5000, 0.2748) and W at (0.5003, 0.0000, 0.2819).

The energy above the most stable polymorph in this dataset comes out at 0.000 eV/atom. The calculation puts the uncorrected formation energy at 0.1559 eV/atom. The final energy is -6.9722 eV/atom.